Entry 1:
DFT (PBE) results for a relaxed Tb4CeTm6 crystal.

calculated formation energy: 0.137 eV per atom

abc: 5.5863 5.5682 25.4687
angles: 90.00 90.00 120.11
Last column: nearest neighbours and their distance in Å.
Sites, in units of the cell vectors:
Tm1 0.1640 0.3280 0.1818  7 Tm 3.48-3.80, 4 Tb 3.55-3.57, 3 Ce 3.65-3.66
Tm2 0.8360 0.6720 0.8182  7 Tm 3.48-3.80, 4 Tb 3.55-3.57, 3 Ce 3.65-3.66
Ce1 0.1689 0.3378 0.7500  3 Tm 3.21-3.22
Tm3 0.5000 0.0000 0.0000  8 Tb 3.11-3.39
Tm4 0.5023 0.0046 0.7500  3 Ce 3.21-3.22, 2 Tb 3.25
Tb1 0.4968 0.9936 0.1222  5 Tm 3.11-3.26
Tm5 0.1691 0.3381 0.6026  6 Tb 3.26-3.58
Tm6 0.1691 0.3381 0.8974  6 Tb 3.26-3.58
Tm7 0.8309 0.6619 0.1026  6 Tb 3.26-3.58
Tb2 0.4968 0.9936 0.3778  5 Tm 3.11-3.26
Tm8 0.8309 0.6619 0.3974  6 Tb 3.26-3.58
Tm9 0.8360 0.6720 0.6818  7 Tm 3.48-3.80, 4 Tb 3.55-3.57, 3 Ce 3.65-3.66
Ce2 0.8311 0.6622 0.2500  3 Tm 3.21-3.22
Tm10 0.4977 0.9954 0.2500  3 Ce 3.21-3.22, 2 Tb 3.25
Tb3 0.1658 0.3315 0.0416  8 Tm 3.39-3.67, 1 Tb 3.79
Tm11 0.5000 0.0000 0.5000  8 Tb 3.11-3.39
Tb4 0.1658 0.3315 0.4584  8 Tm 3.39-3.67, 1 Tb 3.79
Tm12 0.1640 0.3280 0.3182  7 Tm 3.48-3.80, 4 Tb 3.55-3.57, 3 Ce 3.65-3.66
Tb5 0.5032 0.0064 0.8778  5 Tm 3.11-3.26
Tb6 0.5032 0.0064 0.6222  5 Tm 3.11-3.26
Tb7 0.8342 0.6685 0.9584  8 Tm 3.39-3.67, 1 Tb 3.79
Tb8 0.8342 0.6685 0.5416  8 Tm 3.39-3.67, 1 Tb 3.79

Entry 2:
DFT (PBE) results for a relaxed TlCd2Pt crystal.

calculated formation energy: -0.004 eV per atom
distance to the lowest polymorph of the same formula: 0.152 eV per atom

abc: 5.2629 5.2629 5.2629
angles: 130.50 130.50 72.61
Last column: nearest neighbours and their distance in Å.
Sites, in units of the cell vectors:
Tl1 0.7500 0.2500 0.5000  8 Cd 3.06-3.12, 4 Pt 3.06
Cd1 0.2500 0.7500 0.5000  4 Cd 3.06, 4 Pt 3.06, 4 Tl 3.12
Pt1 0.5000 0.5000 0.0000  8 Cd 3.06-3.12, 4 Tl 3.06
Cd2 0.0000 0.0000 0.0000  4 Cd 3.06, 4 Tl 3.06, 4 Pt 3.12

Entry 3:
DFT (PBE) results for a relaxed La2Al3InAu4 crystal.

calculated formation energy: -0.713 eV per atom

abc: 4.5250 4.5250 10.7335
angles: 90.00 90.00 90.00
Last column: nearest neighbours and their distance in Å.
Sites, in units of the cell vectors:
La1 0.0000 0.5000 0.7581  8 Au 3.43-3.44, 6 Al 3.44-3.58, 2 In 3.58
Al1 0.0000 0.5000 0.1231  5 Au 2.50-2.62
In1 0.5000 0.5000 0.5000  4 Au 2.74
La2 0.5000 0.0000 0.2419  8 Au 3.43-3.44, 6 Al 3.44-3.58, 2 In 3.58
Au1 0.0000 0.0000 0.0000  4 Al 2.62
Au2 0.5000 0.0000 0.6436  3 Al 2.50-2.74, 2 In 2.74
Au3 0.5000 0.5000 0.0000  4 Al 2.62
Al2 0.0000 0.0000 0.5000  4 Au 2.74
Au4 0.0000 0.5000 0.3564  3 Al 2.50-2.74, 2 In 2.74
Al3 0.5000 0.0000 0.8769  5 Au 2.50-2.62